This record from Alexandria describes KLiPdO3 after structural relaxation. The functional is PBE.

Results
**Formation energy from raw total energies**: -1.086 eV per atom
**Mass density**: 4.3 g/cm3
**Total magnetic moment**: 0.000 μB/f.u.

Structure (POSCAR):
```
KLiPdO3
1.0
1.629 -5.927 0.000
1.629 5.927 0.000
0.000 0.000 7.981
K Li Pd O
2 2 2 6
Cartesian
1.629 3.063 5.985
1.629 -3.063 1.995
1.629 5.675 1.995
1.629 -5.675 5.985
1.629 0.000 0.000
1.629 0.000 3.990
1.629 4.685 0.367
1.629 4.685 3.623
1.629 0.683 1.995
1.629 -0.683 5.985
1.629 -4.685 4.358
1.629 -4.685 7.613
```